(1)
VASP calculation (PBE) on Sc2H2Se after structural relaxation.

Computed properties:
crystal system: tetragonal
density of states at the Fermi level: 0.772 states/eV/atom
magnetic moment: 0.134 μB/atom
final energy: -54.8 eV per cell

Cell: 3.3984 3.3984 11.2751 Å, 90.00 90.00 90.00°
Last column: nearest neighbours and their distance in Å.
Space group I4/mmm (No. 139)
Unique sites:
1 Sc 0.0000 0.0000 0.1405 [4 per cell]  4 H 2.10
2 H 0.0000 0.5000 0.2500 [4 per cell]  4 Sc 2.10
3 Se 0.0000 0.0000 0.5000 [2 per cell]  8 Sc 2.88

=====

(2)
VASP calculation (PBE) on BeGeRu2 after structural relaxation.

Computed properties:
crystal system: cubic
density of states at the Fermi level: 0.779 states/eV/atom
magnetic moment: 0.000 μB/atom
final energy: -112.1 eV per cell
DFT formation energy: -282.6 meV per atom
offset from the most stable computed form: 0.000 eV/atom

Cell: 5.8431 5.8431 5.8431 Å, 90.00 90.00 90.00°
Last column: nearest neighbours and their distance in Å.
Space group Fm-3m (No. 225)
Unique sites:
1 Be 0.0000 0.0000 0.0000 [4 per cell]  8 Ru 2.53
2 Ge 0.0000 0.0000 0.5000 [4 per cell]  8 Ru 2.53
3 Ru 0.2500 0.2500 0.2500 [8 per cell]  4 Ge 2.53, 4 Be 2.53

=====

(3)
VASP calculation (PBE) on Pa2TaCd after structural relaxation.

Computed properties:
crystal system: trigonal
density of states at the Fermi level: 1.521 states/eV/atom
magnetic moment: 0.000 μB/atom
final energy: -91.6 eV per cell
DFT formation energy: 307.7 meV per atom

Cell: 3.0572 3.0572 35.9023 Å, 90.00 90.00 120.00°
Last column: nearest neighbours and their distance in Å.
Space group R-3m (No. 166, hexagonal axes)
Unique sites:
1 Pa 0.0000 0.0000 0.0926 [6 per cell]  6 Pa 3.06, 3 Ta 3.19, 1 Cd 3.33
2 Ta 0.0000 0.0000 0.5000 [3 per cell]  6 Ta 3.06, 6 Pa 3.19
3 Cd 0.0000 0.0000 0.0000 [3 per cell]  6 Cd 3.06, 2 Pa 3.33